LaInIrPd: optimized geometry, PBE.

Cell lengths 4.6520, 4.6520, 9.3562 Å; angles 90.00, 90.00, 120.00 degrees
Last column: nearest neighbours and their distance in Å.
Fractional coordinates of all 8 atoms:
In 0.0000 0.0000 0.0000  6 Ir 2.79
In 0.0000 0.0000 0.5000  6 Pd 2.78
Ir 0.3333 0.6667 0.0816  3 In 2.79, 4 La 2.98-3.06, 3 Ir 3.09
Ir 0.6667 0.3333 0.9184  3 In 2.79, 4 La 2.98-3.06, 3 Ir 3.09
La 0.6667 0.3333 0.2375  4 Ir 2.98-3.06, 4 Pd 3.19
La 0.3333 0.6667 0.7625  4 Ir 2.98-3.06, 4 Pd 3.19
Pd 0.3333 0.6667 0.4215  3 In 2.78, 3 Pd 3.06
Pd 0.6667 0.3333 0.5785  3 In 2.78, 3 Pd 3.06

uncorrected energy = -6.03 eV per atom
magnetization = 0.00 μB/f.u.

RePd: optimized geometry, PBE.

Cell lengths 3.9634, 3.9634, 5.1499 Å; angles 90.00, 90.00, 120.00 degrees
Last column: nearest neighbours and their distance in Å.
Fractional coordinates of all 4 atoms:
Pd 0.0000 0.0000 0.0000  2 Pd 2.57, 6 Re 2.63
Pd 0.0000 0.0000 0.5000  2 Pd 2.57, 6 Re 2.63
Re 0.6667 0.3333 0.2500  6 Pd 2.63
Re 0.3333 0.6667 0.7500  6 Pd 2.63

energy relative to the elements = 1438.6 meV/atom
excess energy over the best structure of this formula in the dataset = 0.5795 eV/atom
uncorrected energy = -7.36 eV per atom
magnetization = 1.18 μB/f.u.

GdHoCu2As4: optimized geometry, PBE.

Cell lengths 3.9181, 3.9181, 9.8670 Å; angles 90.00, 90.00, 90.00 degrees
Last column: nearest neighbours and their distance in Å.
Fractional coordinates of all 8 atoms:
As 0.5000 0.5000 0.3415  4 Cu 2.51
As 0.0000 0.0000 0.6613  4 Cu 2.52
As 0.5000 0.0000 0.9978  4 As 2.77, 2 Ho 3.04, 2 Gd 3.06
As 0.0000 0.5000 0.9978  4 As 2.77, 2 Ho 3.04, 2 Gd 3.06
Cu 0.5000 0.0000 0.5011  4 As 2.51-2.52, 4 Cu 2.77
Cu 0.0000 0.5000 0.5011  4 As 2.51-2.52, 4 Cu 2.77
Gd 0.0000 0.0000 0.2366  8 As 2.96-3.06, 4 Cu 3.26
Ho 0.5000 0.5000 0.7628  8 As 2.95-3.04, 4 Cu 3.24

uncorrected energy = -5.24 eV per atom
magnetization = 0.00 μB/f.u.

Cu2Ag: optimized geometry, PBE.

Cell lengths 6.9046, 6.9046, 7.5754 Å; angles 118.69, 118.69, 23.36 degrees
Last column: nearest neighbours and their distance in Å.
Fractional coordinates of all 9 atoms:
Ag 0.7743 0.7743 0.1828  7 Cu 2.68-2.80, 5 Ag 2.80-2.88
Ag 0.0000 0.0000 0.5000  8 Cu 2.73-2.75, 4 Ag 2.80-2.81
Ag 0.2257 0.2257 0.8172  7 Cu 2.68-2.80, 5 Ag 2.80-2.88
Cu 0.4443 0.4443 0.1539  7 Cu 2.50-2.80, 4 Ag 2.73-2.79
Cu 0.0987 0.0987 0.1572  9 Cu 2.50-2.80, 2 Ag 2.68
Cu 0.6658 0.6658 0.4689  7 Cu 2.50-2.80, 4 Ag 2.73-2.75
Cu 0.3342 0.3342 0.5311  7 Cu 2.50-2.80, 4 Ag 2.73-2.75
Cu 0.9013 0.9013 0.8428  9 Cu 2.50-2.80, 2 Ag 2.68
Cu 0.5557 0.5557 0.8461  7 Cu 2.50-2.80, 4 Ag 2.73-2.79

energy relative to the elements = 76.2 meV/atom
excess energy over the best structure of this formula in the dataset = 0.0304 eV/atom
uncorrected energy = -3.34 eV per atom

ZrAlSi: optimized geometry, PBE.

Cell lengths 4.4900, 4.4900, 4.4900 Å; angles 60.00, 60.00, 60.00 degrees
Last column: nearest neighbours and their distance in Å.
Fractional coordinates of all 3 atoms:
Al 0.2500 0.2500 0.2500  4 Zr 2.75
Si 0.7500 0.7500 0.7500  4 Zr 2.75
Zr 0.0000 0.0000 0.0000  4 Al 2.75, 4 Si 2.75

uncorrected energy = -5.70 eV per atom
magnetization = 0.01 μB/f.u.

KHfCuS3: optimized geometry, PBE.

Cell lengths 7.3373, 7.3373, 9.7222 Å; angles 90.00, 90.00, 150.68 degrees
Last column: nearest neighbours and their distance in Å.
Fractional coordinates of all 12 atoms:
Cu 0.4653 0.5347 0.2500  4 S 2.29-2.33
Cu 0.5347 0.4653 0.7500  4 S 2.29-2.33
Hf 0.0000 0.0000 0.0000  6 S 2.57-2.60
Hf 0.0000 0.0000 0.5000  6 S 2.57-2.60
K 0.7453 0.2547 0.2500  8 S 3.17-3.42
K 0.2547 0.7453 0.7500  8 S 3.17-3.42
S 0.3793 0.6207 0.0509  1 Cu 2.29
S 0.0642 0.9358 0.2500  2 Cu 2.33, 2 Hf 2.60
S 0.3793 0.6207 0.4491  1 Cu 2.29
S 0.6207 0.3793 0.5509  1 Cu 2.29
S 0.9358 0.0642 0.7500  2 Cu 2.33, 2 Hf 2.60
S 0.6207 0.3793 0.9491  1 Cu 2.29

uncorrected energy = -5.81 eV per atom
magnetization = 0.01 μB/f.u.

MgZnCoB: optimized geometry, PBE.

Cell lengths 4.0124, 4.0124, 4.0124 Å; angles 60.00, 60.00, 60.00 degrees
Last column: nearest neighbours and their distance in Å.
Fractional coordinates of all 4 atoms:
B 0.0000 0.0000 0.0000  4 Zn 2.46, 4 Co 2.46
Co 0.7500 0.7500 0.7500  4 B 2.46, 4 Mg 2.46
Mg 0.5000 0.5000 0.5000  4 Co 2.46, 4 Zn 2.46
Zn 0.2500 0.2500 0.2500  4 B 2.46, 4 Mg 2.46

excess energy over the best structure of this formula in the dataset = 0.1218 eV/atom
uncorrected energy = -3.64 eV per atom
magnetization = 0.00 μB/f.u.

SrCdAs: optimized geometry, PBE.

Cell lengths 5.0662, 5.0662, 5.0662 Å; angles 60.00, 60.00, 60.00 degrees
Last column: nearest neighbours and their distance in Å.
Fractional coordinates of all 3 atoms:
As 0.0000 0.0000 0.0000  4 Cd 3.10, 4 Sr 3.10
Cd 0.2500 0.2500 0.2500  4 As 3.10
Sr 0.7500 0.7500 0.7500  4 As 3.10

excess energy over the best structure of this formula in the dataset = 0.0000 eV/atom
uncorrected energy = -2.94 eV per atom